# 1
Compound: Na2TlHg8Au
Source: Alexandria via LeMat-Bulk
Functional: PBE
Structure: optimized geometry Values from VASP.

Structure (Quantum ESPRESSO input):
```
&SYSTEM
  ibrav = 0, nat = 12, ntyp = 4
/
ATOMIC_SPECIES
Na 22.99 Na.upf
Tl 204.38 Tl.upf
Hg 200.59 Hg.upf
Au 196.97 Au.upf
ATOMIC_POSITIONS crystal
Na 0.3333 0.6667 0.4161
Na 0.6667 0.3333 0.5839
Tl 0.0000 0.0000 0.0000
Hg 0.1742 0.3484 0.7325
Hg 0.1742 0.8258 0.7325
Hg 0.3333 0.6667 0.0590
Hg 0.3484 0.1742 0.2675
Hg 0.6516 0.8258 0.7325
Hg 0.6667 0.3333 0.9410
Hg 0.8258 0.1742 0.2675
Hg 0.8258 0.6516 0.2675
Au 0.0000 0.0000 0.5000
CELL_PARAMETERS angstrom
6.2762 0.0000 0.0000
-3.1381 5.4353 0.0000
0.0000 0.0000 9.3898
```

Summary:
* symmetry: P-3m1 (164)
* ΔE_f: -0.077 eV/atom



# 2
Compound: TmSc3Tl4
Source: Alexandria via LeMat-Bulk
Functional: PBE
Structure: optimized geometry Values from VASP.

Structure (Quantum ESPRESSO input):
```
&SYSTEM
  ibrav = 0, nat = 8, ntyp = 3
/
ATOMIC_SPECIES
Tm 168.93 Tm.upf
Sc 44.96 Sc.upf
Tl 204.38 Tl.upf
ATOMIC_POSITIONS crystal
Tm 0.0000 0.0000 0.0000
Sc 0.2494 0.2494 0.2494
Sc 0.5000 0.5000 0.5000
Sc 0.7506 0.7506 0.7506
Tl 0.1265 0.1265 0.1265
Tl 0.3766 0.3766 0.3766
Tl 0.6234 0.6234 0.6234
Tl 0.8735 0.8735 0.8735
CELL_PARAMETERS angstrom
2.5760 1.4873 8.4299
-2.5760 1.4873 8.4299
0.0000 -2.9745 8.4299
```

Summary:
* symmetry: R-3m (166)
* ΔE_f: -0.257 eV/atom



# 3
Compound: AcGdLuHg
Source: Alexandria via LeMat-Bulk
Functional: PBE
Structure: optimized geometry Values from VASP.

Structure (Quantum ESPRESSO input):
```
&SYSTEM
  ibrav = 0, nat = 4, ntyp = 4
/
ATOMIC_SPECIES
Ac 227.00 Ac.upf
Gd 157.25 Gd.upf
Lu 174.97 Lu.upf
Hg 200.59 Hg.upf
ATOMIC_POSITIONS crystal
Ac 0.0000 0.0000 0.0000
Gd 0.7500 0.7500 0.7500
Lu 0.2500 0.2500 0.2500
Hg 0.5000 0.5000 0.5000
CELL_PARAMETERS angstrom
0.0000 3.9321 3.9321
3.9321 0.0000 3.9321
3.9321 3.9321 0.0000
```

Summary:
* symmetry: F-43m (216)
* ΔE_f: 0.058 eV/atom



# 4
Compound: ZrCuPd5
Source: Alexandria via LeMat-Bulk
Functional: PBE
Structure: optimized geometry Values from VASP.

Structure (Quantum ESPRESSO input):
```
&SYSTEM
  ibrav = 0, nat = 14, ntyp = 3
/
ATOMIC_SPECIES
Zr 91.22 Zr.upf
Cu 63.55 Cu.upf
Pd 106.42 Pd.upf
ATOMIC_POSITIONS crystal
Zr 0.4759 0.2259 0.2500
Zr 0.5241 0.7741 0.7500
Cu 0.0000 0.0000 0.0000
Cu 0.5000 0.0000 0.5000
Pd 0.0326 0.7826 0.2500
Pd 0.1188 0.2835 0.4049
Pd 0.1188 0.7139 0.8354
Pd 0.3785 0.2835 0.6646
Pd 0.3785 0.7139 0.0951
Pd 0.6215 0.2861 0.9049
Pd 0.6215 0.7165 0.3354
Pd 0.8812 0.2861 0.1646
Pd 0.8812 0.7165 0.5951
Pd 0.9674 0.2174 0.7500
CELL_PARAMETERS angstrom
-3.7976 5.5392 2.8634
3.7976 -5.5392 2.8634
3.7976 5.5392 -2.8634
```

Summary:
* symmetry: Imma (74)
* offset from the most stable computed form: 0.159 eV per atom
* ΔE_f: -0.231 eV/atom



| no. | volume (A^3/atom) |
| --- | --- |
| 1 | 26.69 |
| 2 | 24.22 |
| 3 | 30.40 |
| 4 | 17.21 |